1.
First-principles (GGA-PBE) data for crystalline TbLuC2 at its relaxed geometry, as listed in Alexandria via LeMat-Bulk.

The structure in POSCAR format:
```
TbLuC2
1.0
1.780 1.028 5.787
-1.780 1.028 5.787
0.000 -2.056 5.787
Tb Lu C
1 1 2
Direct
0.000 0.000 0.000
0.500 0.500 0.500
0.247 0.247 0.247
0.753 0.753 0.753
```

Values from the calculation:
calculated total energy	-27.598	eV for the cell shown
total magnetization	0.0	Bohr magnetons per cell
calculated formation energy	0	meV per atom

2.
First-principles (GGA-PBE) data for crystalline Tb3LuC at its relaxed geometry, as listed in Alexandria via LeMat-Bulk.

The structure in POSCAR format:
```
Tb3LuC
1.0
5.062 0.000 0.000
0.000 5.062 0.000
0.000 0.000 5.062
Tb Lu C
3 1 1
Direct
0.000 0.000 0.500
0.000 0.500 0.000
0.500 0.000 0.000
0.500 0.500 0.500
0.000 0.000 0.000
```

Values from the calculation:
calculated total energy	-27.667	eV for the cell shown
total magnetization	0.0	Bohr magnetons per cell
calculated formation energy	-6	meV per atom

3.
First-principles (GGA-PBE) data for crystalline TbLuC at its relaxed geometry, as listed in Alexandria via LeMat-Bulk.

The structure in POSCAR format:
```
TbLuC
1.0
3.537 0.000 0.000
-1.769 3.064 0.000
0.000 0.000 6.167
Tb Lu C
1 1 1
Direct
0.000 0.000 0.000
0.333 0.667 0.434
0.667 0.333 0.225
```

Values from the calculation:
calculated total energy	-19.226	eV for the cell shown
total magnetization	0.0	Bohr magnetons per cell
calculated formation energy	-284	meV per atom

Number 1: V 15.9 Å³/atom. Number 2: V 25.9 Å³/atom. Number 3: V 22.3 Å³/atom.